## one
Computed, not measured: crystalline Pu4PtAu at its relaxed geometry at the PBE-GGA level of DFT.

abc: 7.286 7.286 5.742
angles: 90.00 90.00 90.00
Element x y z (fractional)
Pu: 0.154 0.334 0.000
Pu: 0.154 0.666 0.500
Pu: 0.334 0.154 0.500
Pu: 0.334 0.846 0.000
Pu: 0.666 0.154 0.000
Pu: 0.666 0.846 0.500
Pu: 0.846 0.334 0.500
Pu: 0.846 0.666 0.000
Pt: 0.000 0.000 0.250
Pt: 0.000 0.000 0.750
Au: 0.500 0.500 0.250
Au: 0.500 0.500 0.750

## two
Computed, not measured: crystalline Pu4PtAu at its relaxed geometry at the PBE-GGA level of DFT.

abc: 10.570 10.570 10.570
angles: 153.16 153.16 38.33
Element x y z (fractional)
Pu: 0.000 0.250 0.250
Pu: 0.000 0.750 0.750
Pu: 0.250 0.000 0.750
Pu: 0.250 0.500 0.250
Pu: 0.500 0.250 0.750
Pu: 0.500 0.750 0.250
Pu: 0.750 0.000 0.250
Pu: 0.750 0.500 0.750
Pt: 0.375 0.625 0.750
Pt: 0.625 0.375 0.250
Au: 0.125 0.875 0.250
Au: 0.875 0.125 0.750

Most stable one: one, least stable one: two.

## one
Computed, not measured: crystalline Pu7Pt2Au2 at its relaxed geometry at the PBE-GGA level of DFT.

abc: 6.807 6.807 6.641
angles: 90.00 90.00 106.73
Element x y z (fractional)
Pu: 0.000 0.000 0.000
Pu: 0.000 0.500 0.284
Pu: 0.000 0.500 0.716
Pu: 0.500 0.000 0.284
Pu: 0.500 0.000 0.716
Pu: 0.500 0.500 0.272
Pu: 0.500 0.500 0.728
Pt: 0.287 0.713 0.000
Pt: 0.713 0.287 0.000
Au: 0.170 0.170 0.500
Au: 0.830 0.830 0.500

## two
Computed, not measured: crystalline Pu7Pt2Au2 at its relaxed geometry at the PBE-GGA level of DFT.

abc: 8.553 8.553 8.553
angles: 148.49 63.59 126.32
Element x y z (fractional)
Pu: 0.000 0.000 0.000
Pu: 0.168 0.311 0.857
Pu: 0.285 0.608 0.677
Pu: 0.454 0.311 0.143
Pu: 0.544 0.177 0.367
Pu: 0.810 0.177 0.633
Pu: 0.931 0.608 0.323
Pt: 0.126 0.915 0.211
Pt: 0.704 0.915 0.789
Au: 0.328 0.828 0.500
Au: 0.605 0.605 0.000

Most stable one: two, least stable one: one.

## one
Computed, not measured: crystalline RbPt2Au2 at its relaxed geometry at the PBE-GGA level of DFT.

abc: 4.766 4.766 10.366
angles: 90.00 90.00 90.00
Element x y z (fractional)
Rb: 0.000 0.000 0.000
Rb: 0.500 0.500 0.500
Pt: 0.000 0.000 0.378
Pt: 0.000 0.000 0.622
Pt: 0.500 0.500 0.122
Pt: 0.500 0.500 0.878
Au: 0.000 0.500 0.250
Au: 0.000 0.500 0.750
Au: 0.500 0.000 0.250
Au: 0.500 0.000 0.750

## two
Computed, not measured: crystalline RbPt2Au2 at its relaxed geometry at the PBE-GGA level of DFT.

abc: 8.440 8.440 2.869
angles: 90.00 90.00 90.00
Element x y z (fractional)
Rb: 0.000 0.000 0.000
Rb: 0.500 0.500 0.000
Pt: 0.114 0.386 0.000
Pt: 0.386 0.886 0.000
Pt: 0.614 0.114 0.000
Pt: 0.886 0.614 0.000
Au: 0.182 0.682 0.500
Au: 0.318 0.182 0.500
Au: 0.682 0.818 0.500
Au: 0.818 0.318 0.500

Most stable one: two, least stable one: one.

## one
Computed, not measured: crystalline RbPt2Au2 at its relaxed geometry at the PBE-GGA level of DFT.

abc: 4.173 4.173 12.845
angles: 90.00 90.00 90.00
Element x y z (fractional)
Rb: 0.000 0.000 0.000
Rb: 0.500 0.500 0.500
Pt: 0.000 0.500 0.250
Pt: 0.000 0.500 0.750
Pt: 0.500 0.000 0.250
Pt: 0.500 0.000 0.750
Au: 0.000 0.000 0.392
Au: 0.000 0.000 0.608
Au: 0.500 0.500 0.108
Au: 0.500 0.500 0.892

## two
Computed, not measured: crystalline RbPt2Au2 at its relaxed geometry at the PBE-GGA level of DFT.

abc: 8.490 8.490 2.840
angles: 90.00 90.00 90.00
Element x y z (fractional)
Rb: 0.000 0.000 0.000
Rb: 0.500 0.500 0.000
Pt: 0.168 0.332 0.500
Pt: 0.332 0.832 0.500
Pt: 0.668 0.168 0.500
Pt: 0.832 0.668 0.500
Au: 0.128 0.628 0.000
Au: 0.372 0.128 0.000
Au: 0.628 0.872 0.000
Au: 0.872 0.372 0.000

Most stable one: two, least stable one: one.

## one
Computed, not measured: crystalline RbPtAu3 at its relaxed geometry at the PBE-GGA level of DFT.

abc: 5.221 5.221 5.221
angles: 90.00 90.00 90.00
Element x y z (fractional)
Rb: 0.000 0.000 0.000
Pt: 0.500 0.500 0.500
Au: 0.000 0.500 0.500
Au: 0.500 0.000 0.500
Au: 0.500 0.500 0.000

## two
Computed, not measured: crystalline RbPtAu3 at its relaxed geometry at the PBE-GGA level of DFT.

abc: 5.571 5.571 5.571
angles: 90.00 90.00 90.00
Element x y z (fractional)
Rb: 0.000 0.000 0.000
Pt: 0.500 0.500 0.500
Au: 0.000 0.000 0.500
Au: 0.000 0.500 0.000
Au: 0.500 0.000 0.000

Most stable one: one, least stable one: two.

## one
Computed, not measured: crystalline RbPtAu at its relaxed geometry at the PBE-GGA level of DFT.

abc: 4.581 6.671 6.766
angles: 65.79 70.32 89.92
Element x y z (fractional)
Rb: 0.113 0.299 0.274
Rb: 0.887 0.701 0.726
Pt: 0.212 0.911 0.077
Pt: 0.788 0.089 0.923
Au: 0.402 0.306 0.693
Au: 0.598 0.694 0.307

## two
Computed, not measured: crystalline RbPtAu at its relaxed geometry at the PBE-GGA level of DFT.

abc: 4.466 4.466 5.241
angles: 90.00 90.00 120.00
Element x y z (fractional)
Rb: 0.000 0.000 0.000
Pt: 0.333 0.667 0.500
Au: 0.667 0.333 0.500

Most stable one: one, least stable one: two.